Record 1
A PBEsol-optimized structure of LiOs2Cl. Source: the Alexandria database, functional meta-GGA SCAN.

Properties
E above lowest polymorph, meV/atom: 0
Crystal system: monoclinic

abc: 2.827 3.515 6.363
angles: 90.00 102.91 90.00
Fractional coordinates of all 4 atoms:
Os (0.657, 0.500, 0.188)
Os (0.067, 0.000, 0.008)
Cl (0.862, 0.000, 0.601)
Li (0.414, 0.500, 0.704)



Record 2
A PBEsol-optimized structure of V3S4. Source: the Alexandria database, functional meta-GGA SCAN.

Properties
E above lowest polymorph, meV/atom: 0
Crystal system: monoclinic

abc: 3.176 5.780 6.369
angles: 114.33 104.44 90.00
Site moments in Bohr magnetons follow the coordinates.
Fractional coordinates of all 7 atoms:
S (0.641, 0.977, 0.281)  -0.04
S (0.893, 0.553, 0.786)  -0.02
S (0.107, 0.447, 0.214)  -0.02
S (0.359, 0.023, 0.719)  -0.04
V (0.000, 0.000, 0.000)  1.81
V (0.258, 0.318, 0.517)  0.01
V (0.742, 0.682, 0.483)  0.01



Record 3
A PBEsol-optimized structure of Ni6MoAu. Source: the Alexandria database, functional meta-GGA SCAN.

Properties
E_form, eV per atom: 0.0479
Crystal system: orthorhombic

abc: 6.237 6.237 10.220
angles: 90.00 90.00 109.46
Fractional coordinates of all 32 atoms:
Ni (0.135, 0.381, 0.370)
Ni (0.872, 0.619, 0.121)
Ni (0.619, 0.872, 0.121)
Ni (0.254, 0.746, 0.243)
Ni (0.000, 0.000, 0.000)
Ni (0.746, 0.254, 0.757)
Ni (0.128, 0.381, 0.879)
Ni (0.865, 0.619, 0.370)
Ni (0.254, 0.746, 0.757)
Ni (0.000, 0.000, 0.500)
Ni (0.746, 0.254, 0.243)
Ni (0.619, 0.865, 0.630)
Ni (0.619, 0.872, 0.879)
Ni (0.135, 0.381, 0.630)
Ni (0.500, 0.500, 0.500)
Ni (0.128, 0.381, 0.121)
Ni (0.865, 0.619, 0.630)
Ni (0.500, 0.500, 0.000)
Ni (0.381, 0.128, 0.121)
Ni (0.872, 0.619, 0.879)
Ni (0.381, 0.128, 0.879)
Ni (0.381, 0.135, 0.630)
Ni (0.619, 0.865, 0.370)
Ni (0.381, 0.135, 0.370)
Mo (0.746, 0.254, 0.000)
Mo (0.500, 0.500, 0.255)
Mo (0.500, 0.500, 0.745)
Mo (0.254, 0.746, 0.000)
Au (0.000, 0.000, 0.750)
Au (0.754, 0.246, 0.500)
Au (0.246, 0.754, 0.500)
Au (0.000, 0.000, 0.250)



Record 4
A PBEsol-optimized structure of BaY2CdBi. Source: the Alexandria database, functional meta-GGA SCAN.

Properties
E_form, eV per atom: 0.0984
Crystal system: tetragonal

abc: 5.715 5.856 5.856
angles: 90.00 90.00 90.00
Site moments in Bohr magnetons follow the coordinates.
Fractional coordinates of all 5 atoms:
Bi (0.000, 0.000, 0.000)  0.00
Ba (0.500, 0.500, 0.500)  0.05
Y (0.000, 0.000, 0.500)  0.24
Y (0.000, 0.500, 0.000)  0.24
Cd (0.500, 0.000, 0.000)  -0.01



Record 5
A PBEsol-optimized structure of Cu2Ru. Source: the Alexandria database, functional meta-GGA SCAN.

Properties
E_form, eV per atom: 0.3264
Crystal system: orthorhombic

abc: 2.486 3.707 4.546
angles: 114.06 105.86 90.00
Fractional coordinates of all 3 atoms:
Cu (0.331, 0.331, 0.661)
Cu (0.669, 0.669, 0.339)
Ru (0.000, 0.000, 0.000)



Record 6
A PBEsol-optimized structure of LiNbFeO4. Source: the Alexandria database, functional meta-GGA SCAN.

Properties
E above lowest polymorph, meV/atom: 7
Crystal system: orthorhombic

abc: 5.913 6.171 8.550
angles: 90.00 90.00 90.00
Site moments in Bohr magnetons follow the coordinates.
Fractional coordinates of all 28 atoms:
O (0.478, 0.989, 0.747)  0.06
O (0.522, 0.511, 0.247)  0.06
O (0.750, 0.259, 0.485)  0.11
O (0.250, 0.741, 0.515)  0.11
O (0.478, 0.489, 0.753)  0.06
O (0.250, 0.241, 0.985)  0.11
O (0.978, 0.011, 0.253)  0.06
O (0.978, 0.511, 0.247)  0.06
O (0.022, 0.989, 0.747)  0.06
O (0.750, 0.216, 0.021)  0.14
O (0.750, 0.759, 0.015)  0.11
O (0.250, 0.784, 0.979)  0.14
O (0.522, 0.011, 0.253)  0.06
O (0.750, 0.716, 0.479)  0.14
O (0.250, 0.284, 0.521)  0.14
O (0.022, 0.489, 0.753)  0.06
Li (0.250, 0.011, 0.389)  0.00
Li (0.750, 0.489, 0.889)  0.00
Li (0.250, 0.511, 0.111)  0.00
Li (0.750, 0.989, 0.611)  0.00
Nb (0.250, 0.223, 0.756)  -0.15
Nb (0.750, 0.277, 0.256)  -0.15
Nb (0.750, 0.777, 0.244)  -0.15
Nb (0.250, 0.723, 0.744)  -0.15
Fe (0.000, 0.500, 0.500)  3.72
Fe (0.000, 0.000, 0.000)  3.72
Fe (0.500, 0.000, 0.000)  3.72
Fe (0.500, 0.500, 0.500)  3.72



Record 7
A PBEsol-optimized structure of PrMo6Se8. Source: the Alexandria database, functional meta-GGA SCAN.

Properties
Calculated total energy, eV per atom: -28.36
Crystal system: trigonal

abc: 6.707 6.707 6.707
angles: 88.37 88.37 88.37
Fractional coordinates of all 15 atoms:
Se (0.120, 0.757, 0.378)
Se (0.880, 0.243, 0.622)
Se (0.622, 0.880, 0.243)
Se (0.378, 0.120, 0.757)
Se (0.758, 0.758, 0.758)
Se (0.243, 0.622, 0.880)
Se (0.242, 0.242, 0.242)
Se (0.757, 0.378, 0.120)
Mo (0.234, 0.423, 0.562)
Mo (0.562, 0.234, 0.423)
Mo (0.423, 0.562, 0.234)
Mo (0.438, 0.766, 0.577)
Mo (0.766, 0.577, 0.438)
Mo (0.577, 0.438, 0.766)
Pr (0.000, 0.000, 0.000)



Record 8
A PBEsol-optimized structure of Tl2HgBr. Source: the Alexandria database, functional meta-GGA SCAN.

Properties
E above lowest polymorph, meV/atom: 174
Crystal system: cubic

abc: 5.430 5.430 5.430
angles: 60.00 60.00 60.00
Fractional coordinates of all 4 atoms:
Tl (0.000, 0.000, 0.000)
Tl (0.750, 0.750, 0.750)
Hg (0.250, 0.250, 0.250)
Br (0.500, 0.500, 0.500)